one:
## Tl2NiIr (PBE)

Data for an optimized crystal structure of Tl2NiIr.

Summary:
- Size of the total moment: 0.00 μB/cell
- Crystal system: orthorhombic
- Symmetry: Amm2, No. 38

Unit cell a=4.027 b=5.335 c=5.335 alpha=43.51 beta=90.00 gamma=90.00
Fractional positions:
1 Tl 0.000 0.000 0.000
2 Tl 0.500 0.295 0.295
3 Ni 0.000 0.717 0.717
4 Ir 0.500 0.580 0.580

two:
## Tl2NiIr (PBE)

Data for an optimized crystal structure of Tl2NiIr.

Summary:
- Size of the total moment: 0.00 μB/cell
- Crystal system: monoclinic
- Symmetry: Cm, No. 8

Unit cell a=5.809 b=5.809 c=4.671 alpha=105.97 beta=105.97 gamma=30.11
Fractional positions:
1 Tl 0.000 0.000 0.000
2 Tl 0.211 0.211 0.642
3 Ni 0.448 0.448 0.475
4 Ir 0.771 0.771 0.184

three:
## Tl2NiIr (PBE)

Data for an optimized crystal structure of Tl2NiIr.

Summary:
- Size of the total moment: 0.00 μB/cell
- Crystal system: monoclinic
- Symmetry: C2/m, No. 12

Unit cell a=4.487 b=4.487 c=5.715 alpha=101.63 beta=101.63 gamma=41.83
Fractional positions:
1 Tl 0.246 0.246 0.242
2 Tl 0.754 0.754 0.758
3 Ni 0.500 0.500 0.000
4 Ir 0.000 0.000 0.500

four:
## Tl2NiIr (PBE)

Data for an optimized crystal structure of Tl2NiIr.

Summary:
- Size of the total moment: 0.00 μB/cell
- Crystal system: trigonal
- Symmetry: R-3m, No. 166

Unit cell a=8.541 b=8.541 c=8.541 alpha=21.61 beta=21.61 gamma=21.61
Fractional positions:
1 Tl 0.247 0.247 0.247
2 Tl 0.753 0.753 0.753
3 Ni 0.500 0.500 0.500
4 Ir 0.000 0.000 0.000

What is the stability order? It is one, two, four, three, from most stable to least stable.

one:
## Tl2NiIr (PBE)

Data for an optimized crystal structure of Tl2NiIr.

Summary:
- Size of the total moment: 0.00 μB/cell
- Crystal system: tetragonal
- Symmetry: P4/mmm, No. 123

Unit cell a=3.180 b=3.180 c=7.077 alpha=90.00 beta=90.00 gamma=90.00
Fractional positions:
1 Tl 0.000 0.000 0.240
2 Tl 0.000 0.000 0.760
3 Ni 0.500 0.500 0.000
4 Ir 0.500 0.500 0.500

two:
## Tl2NiIr (PBE)

Data for an optimized crystal structure of Tl2NiIr.

Summary:
- Size of the total moment: 0.00 μB/cell
- Crystal system: cubic
- Symmetry: Fm-3m, No. 225

Unit cell a=4.674 b=4.674 c=4.674 alpha=60.00 beta=60.00 gamma=60.00
Fractional positions:
1 Tl 0.250 0.250 0.250
2 Tl 0.750 0.750 0.750
3 Ni 0.000 0.000 0.000
4 Ir 0.500 0.500 0.500

three:
## Tl2NiIr (PBE)

Data for an optimized crystal structure of Tl2NiIr.

Summary:
- Size of the total moment: 0.00 μB/cell
- Crystal system: cubic
- Symmetry: F-43m, No. 216

Unit cell a=4.725 b=4.725 c=4.725 alpha=60.00 beta=60.00 gamma=60.00
Fractional positions:
1 Tl 0.000 0.000 0.000
2 Tl 0.250 0.250 0.250
3 Ni 0.750 0.750 0.750
4 Ir 0.500 0.500 0.500

What is the stability order? It is one, two, three, from most stable to least stable.

one:
## Tl2NiIr (PBE)

Data for an optimized crystal structure of Tl2NiIr.

Summary:
- Size of the total moment: 0.00 μB/cell
- Crystal system: tetragonal
- Symmetry: I-4m2, No. 119

Unit cell a=5.521 b=5.521 c=5.521 alpha=138.51 beta=138.51 gamma=60.13
Fractional positions:
1 Tl 0.000 0.000 0.000
2 Tl 0.750 0.250 0.500
3 Ni 0.500 0.500 0.000
4 Ir 0.250 0.750 0.500

two:
## Tl2NiIr (PBE)

Data for an optimized crystal structure of Tl2NiIr.

Summary:
- Size of the total moment: 0.00 μB/cell
- Crystal system: tetragonal
- Symmetry: I-42d, No. 122

Unit cell a=7.382 b=7.382 c=7.382 alpha=131.47 beta=131.47 gamma=71.07
Fractional positions:
1 Tl 0.114 0.625 0.989
2 Tl 0.375 0.364 0.489
3 Tl 0.636 0.125 0.011
4 Tl 0.875 0.886 0.511
5 Ni 0.000 0.000 0.000
6 Ni 0.750 0.250 0.500
7 Ir 0.250 0.750 0.500
8 Ir 0.500 0.500 0.000

three:
## Tl2NiIr (PBE)

Data for an optimized crystal structure of Tl2NiIr.

Summary:
- Size of the total moment: 0.00 μB/cell
- Crystal system: tetragonal
- Symmetry: P4mm, No. 99

Unit cell a=3.261 b=3.261 c=7.686 alpha=90.00 beta=90.00 gamma=90.00
Fractional positions:
1 Tl 0.000 0.000 0.000
2 Tl 0.500 0.500 0.356
3 Ni 0.500 0.500 0.743
4 Ir 0.000 0.000 0.619

four:
## Tl2NiIr (PBE)

Data for an optimized crystal structure of Tl2NiIr.

Summary:
- Size of the total moment: 0.00 μB/cell
- Crystal system: monoclinic
- Symmetry: C2/m, No. 12

Unit cell a=4.822 b=4.822 c=3.156 alpha=90.12 beta=90.12 gamma=99.66
Fractional positions:
1 Tl 0.000 0.500 0.000
2 Tl 0.500 0.000 0.000
3 Ni 0.000 0.000 0.500
4 Ir 0.500 0.500 0.500

What is the stability order? It is three, four, one, two, from most stable to least stable.

one:
## Tl3NiIr (PBE)

Data for an optimized crystal structure of Tl3NiIr.

Summary:
- Size of the total moment: 0.87 μB/cell
- Crystal system: cubic
- Symmetry: Pm-3m, No. 221

Unit cell a=5.280 b=5.280 c=5.280 alpha=90.00 beta=90.00 gamma=90.00
Fractional positions:
1 Tl 0.000 0.000 0.500
2 Tl 0.000 0.500 0.000
3 Tl 0.500 0.000 0.000
4 Ni 0.500 0.500 0.500
5 Ir 0.000 0.000 0.000

two:
## Tl3NiIr (PBE)

Data for an optimized crystal structure of Tl3NiIr.

Summary:
- Size of the total moment: 0.78 μB/cell
- Crystal system: cubic
- Symmetry: Pm-3m, No. 221

Unit cell a=4.961 b=4.961 c=4.961 alpha=90.00 beta=90.00 gamma=90.00
Fractional positions:
1 Tl 0.000 0.000 0.500
2 Tl 0.000 0.500 0.000
3 Tl 0.500 0.000 0.000
4 Ni 0.000 0.000 0.000
5 Ir 0.500 0.500 0.500

What is the stability order? It is one, two, from most stable to least stable.

one:
## Tl2NiIr2 (PBE)

Data for an optimized crystal structure of Tl2NiIr2.

Summary:
- Size of the total moment: 0.65 μB/cell
- Crystal system: tetragonal
- Symmetry: P4/mbm, No. 127

Unit cell a=7.735 b=7.735 c=3.134 alpha=90.00 beta=90.00 gamma=90.00
Fractional positions:
1 Tl 0.165 0.335 0.000
2 Tl 0.335 0.835 0.000
3 Tl 0.665 0.165 0.000
4 Tl 0.835 0.665 0.000
5 Ni 0.000 0.000 0.000
6 Ni 0.500 0.500 0.000
7 Ir 0.134 0.634 0.500
8 Ir 0.366 0.134 0.500
9 Ir 0.634 0.866 0.500
10 Ir 0.866 0.366 0.500

two:
## Tl2NiIr2 (PBE)

Data for an optimized crystal structure of Tl2NiIr2.

Summary:
- Size of the total moment: 0.00 μB/cell
- Crystal system: tetragonal
- Symmetry: P4/mbm, No. 127

Unit cell a=6.555 b=6.555 c=4.289 alpha=90.00 beta=90.00 gamma=90.00
Fractional positions:
1 Tl 0.176 0.324 0.000
2 Tl 0.324 0.824 0.000
3 Tl 0.676 0.176 0.000
4 Tl 0.824 0.676 0.000
5 Ni 0.000 0.000 0.500
6 Ni 0.500 0.500 0.500
7 Ir 0.136 0.636 0.500
8 Ir 0.364 0.136 0.500
9 Ir 0.636 0.864 0.500
10 Ir 0.864 0.364 0.500

three:
## Tl2NiIr2 (PBE)

Data for an optimized crystal structure of Tl2NiIr2.

Summary:
- Size of the total moment: 0.00 μB/cell
- Crystal system: tetragonal
- Symmetry: I4/mmm, No. 139

Unit cell a=8.565 b=8.565 c=8.565 alpha=156.15 beta=156.15 gamma=33.98
Fractional positions:
1 Tl 0.098 0.098 0.000
2 Tl 0.902 0.902 0.000
3 Ni 0.500 0.500 0.000
4 Ir 0.250 0.750 0.500
5 Ir 0.750 0.250 0.500

What is the stability order? It is two, three, one, from most stable to least stable.

one:
## Tm3NiIr (PBE)

Data for an optimized crystal structure of Tm3NiIr.

Summary:
- Size of the total moment: 0.00 μB/cell
- Crystal system: orthorhombic
- Symmetry: Pmmn, No. 59

Unit cell a=4.177 b=8.642 c=6.077 alpha=90.00 beta=90.00 gamma=90.00
Fractional positions:
1 Tm 0.250 0.053 0.235
2 Tm 0.250 0.250 0.730
3 Tm 0.250 0.447 0.235
4 Tm 0.750 0.553 0.765
5 Tm 0.750 0.750 0.270
6 Tm 0.750 0.947 0.765
7 Ni 0.250 0.750 0.553
8 Ni 0.750 0.250 0.447
9 Ir 0.250 0.750 0.969
10 Ir 0.750 0.250 0.031

two:
## Tm3NiIr (PBE)

Data for an optimized crystal structure of Tm3NiIr.

Summary:
- Size of the total moment: 0.00 μB/cell
- Crystal system: orthorhombic
- Symmetry: Pmmn, No. 59

Unit cell a=3.934 b=6.707 c=8.609 alpha=90.00 beta=90.00 gamma=90.00
Fractional positions:
1 Tm 0.250 0.013 0.170
2 Tm 0.250 0.250 0.551
3 Tm 0.250 0.487 0.170
4 Tm 0.750 0.513 0.830
5 Tm 0.750 0.750 0.449
6 Tm 0.750 0.987 0.830
7 Ni 0.250 0.250 0.897
8 Ni 0.750 0.750 0.103
9 Ir 0.250 0.750 0.670
10 Ir 0.750 0.250 0.330

What is the stability order? It is one, two, from most stable to least stable.